The following is a GGA-PBE calculation of an optimized crystal structure of NdAlZnPd, from Alexandria via LeMat-Bulk. Values from VASP.

Computed properties:
Its spin magnetization is 0.000 μB/atom. As for the symmetry: R3m. The energy above the most stable polymorph in this dataset comes out at 0.00 eV/f.u. The formation energy comes out at -0.60 eV per atom.

Structure (Quantum ESPRESSO input):
```
&SYSTEM
  ibrav = 0, nat = 4, ntyp = 4
/
ATOMIC_SPECIES
Nd 144.24 Nd.upf
Al 26.98 Al.upf
Zn 65.41 Zn.upf
Pd 106.42 Pd.upf
CELL_PARAMETERS angstrom
-1.4162 -3.1485 -2.8551
2.3303 -3.7953 -0.4854
-2.2535 -4.3322 2.3804
ATOMIC_POSITIONS angstrom
Nd -0.5416 -8.0918 -1.3523
Al -0.0759 -2.6148 -0.5936
Zn -2.0851 -4.1994 2.1505
Pd 0.1735 -4.9729 -1.6317
```